# 1
K2FeSe, optimized geometry, DFT PBE; electronic total energy = -14.5 eV per cell; space-group type = No. 8; E_form (uncorrected) = -0.077 eV/atom
1.0
5.7546 -2.2190 0.0000
5.7546 2.2190 0.0000
-2.9069 0.0000 5.0584
K Fe Se
2 1 1
Direct
0.0000 0.0000 0.0000
0.1859 0.1859 0.6808
0.3698 0.3698 0.3701
0.8214 0.8214 0.3226


# 2
K2FeSe, optimized geometry, DFT PBE; electronic total energy = -12.5 eV per cell; space-group type = No. 166; E_form (uncorrected) = 0.402 eV/atom
1.0
2.3185 1.3386 9.3148
-2.3185 1.3386 9.3148
0.0000 -2.6772 9.3148
K Fe Se
2 1 1
Direct
0.2286 0.2286 0.2286
0.7714 0.7714 0.7714
0.0000 0.0000 0.0000
0.5000 0.5000 0.5000